No. 1
DFT (PBE-GGA) results for a relaxed structure of PmGa3CuAu.

POSCAR file:
```
PmGa3CuAu
1.0
6.111 0.000 0.000
0.000 5.710 0.000
0.000 -2.855 6.695
Au Cu Ga Pm
2 2 6 2
direct
0.250 0.334 0.668
0.750 0.666 0.332
0.750 0.089 0.177
0.250 0.911 0.823
0.000 0.719 0.000
0.250 0.126 0.253
0.500 0.281 0.000
0.000 0.281 0.000
0.750 0.874 0.747
0.500 0.719 0.000
0.250 0.701 0.402
0.750 0.299 0.598
```

Summary:
Energy of formation from the pure elements ... -1.55 eV/f.u.


No. 2
DFT (PBE-GGA) results for a relaxed structure of CoCuSi2.

POSCAR file:
```
CoCuSi2
1.0
-2.279 1.295 0.002
-1.287 -2.259 0.336
0.448 0.776 6.939
Co Si Cu
1 2 1
direct
0.500 0.500 0.250
0.000 0.000 0.473
0.000 0.000 0.027
0.500 0.500 0.750
```

Summary:
Uncorrected formation energy ... -58.8 meV per atom


No. 3
DFT (PBE-GGA) results for a relaxed structure of CaAsH5O6.

POSCAR file:
```
CaAsH5O6
1.0
9.184 0.063 0.147
-7.028 5.912 0.147
0.791 2.193 5.548
O H Ca As
12 10 2 2
direct
0.126 0.328 0.687
0.776 0.263 0.050
0.328 0.126 0.187
0.430 0.680 0.835
0.206 0.098 0.748
0.680 0.430 0.335
0.170 0.729 0.089
0.900 0.629 0.813
0.263 0.776 0.550
0.629 0.900 0.313
0.098 0.206 0.248
0.729 0.170 0.589
0.055 0.699 0.693
0.170 0.164 0.224
0.062 0.925 0.772
0.242 0.962 0.260
0.699 0.055 0.193
0.164 0.170 0.724
0.436 0.222 0.277
0.962 0.242 0.760
0.222 0.436 0.777
0.925 0.062 0.272
0.551 0.241 0.766
0.241 0.551 0.266
0.879 0.503 0.100
0.503 0.879 0.600
```

Summary:
ΔE to the lowest computed polymorph ... 57 meV per atom


No. 4
DFT (PBE-GGA) results for a relaxed structure of Mg2ZnPd.

POSCAR file:
```
Mg2ZnPd
1.0
3.222 0.000 0.000
0.000 3.222 0.000
0.000 0.000 6.535
Mg Zn Pd
2 1 1
direct
0.000 0.000 0.763
0.000 0.000 0.237
0.500 0.500 0.500
0.500 0.500 0.000
```

Summary:
Energy of formation from the pure elements ... -1.79 eV/f.u.


No. 5
DFT (PBE-GGA) results for a relaxed structure of DyEr2Al3.

POSCAR file:
```
DyEr2Al3
1.0
5.919 0.000 0.000
0.000 9.963 0.000
-2.960 -4.981 5.162
Al Er Dy
6 4 2
direct
0.000 0.000 0.500
0.000 0.250 0.000
0.000 0.500 0.500
0.500 0.750 0.000
0.500 0.250 0.000
0.000 0.750 0.000
0.166 0.416 0.833
0.834 0.584 0.167
0.834 0.084 0.167
0.166 0.916 0.833
0.500 0.750 0.500
0.500 0.250 0.500
```

Summary:
ΔE to the lowest computed polymorph ... 280 meV per atom
Energy of formation from the pure elements ... -0.70 eV/f.u.


No. 6
DFT (PBE-GGA) results for a relaxed structure of ErFeP2Rh5.

POSCAR file:
```
ErFeP2Rh5
1.0
4.344 0.000 0.000
0.000 4.344 0.000
0.000 0.000 9.195
Rh P Fe Er
5 2 1 1
direct
0.500 0.000 0.286
0.000 0.500 0.286
0.500 0.000 0.714
0.000 0.000 0.500
0.000 0.500 0.714
0.000 0.000 0.764
0.000 0.000 0.236
0.000 0.000 0.000
0.500 0.500 0.500
```

Summary:
Energy of formation from the pure elements ... -2.47 eV/f.u.


No. 7
DFT (PBE-GGA) results for a relaxed structure of Ba2ThH8.

POSCAR file:
```
Ba2ThH8
1.0
3.994 0.000 -0.895
-0.207 3.983 -0.924
0.117 0.203 9.882
H Ba Th
8 2 1
direct
0.559 0.559 0.119
0.941 0.938 0.881
0.376 0.877 0.752
0.624 0.123 0.248
0.750 0.750 0.500
0.059 0.062 0.119
0.250 0.250 0.500
0.441 0.441 0.881
0.835 0.335 0.670
0.165 0.665 0.330
0.500 0.000 0.000
```

Summary:
E_tot ... -0.288 Ry/atom


No. 8
DFT (PBE-GGA) results for a relaxed structure of Mg4TlZn.

POSCAR file:
```
Mg4TlZn
1.0
-0.943 -5.320 2.245
-5.472 -1.899 0.824
-2.158 -4.260 -3.380
Mg Zn Tl
4 1 1
direct
0.876 0.375 0.375
0.375 0.375 0.876
0.375 0.876 0.375
0.375 0.375 0.375
0.000 0.000 0.000
0.750 0.750 0.750
```

Summary:
ΔE to the lowest computed polymorph ... 167 meV per atom
Energy of formation from the pure elements ... 0.80 eV/f.u.


No. 9
DFT (PBE-GGA) results for a relaxed structure of VIr2Ru6.

POSCAR file:
```
VIr2Ru6
1.0
2.668 -0.147 0.523
-1.437 4.386 -5.581
1.916 -0.184 11.426
Ru V Ir
6 1 2
direct
0.338 0.338 0.333
0.261 0.484 0.815
0.923 0.145 0.482
0.739 0.516 0.185
0.077 0.855 0.518
0.662 0.662 0.667
0.000 0.000 0.000
0.405 0.184 0.853
0.595 0.816 0.147
```

Summary:
Energy of formation from the pure elements ... -0.81 eV/f.u.


No. 10
DFT (PBE-GGA) results for a relaxed structure of Ho8Er2Sc3.

POSCAR file:
```
Ho8Er2Sc3
1.0
5.762 0.347 1.338
1.921 8.186 1.662
0.851 -0.474 8.516
Ho Er Sc
8 2 3
direct
0.228 0.590 0.590
0.884 0.136 0.136
0.351 0.389 0.924
0.351 0.924 0.389
0.649 0.611 0.076
0.116 0.864 0.864
0.772 0.410 0.410
0.649 0.076 0.611
0.340 0.321 0.321
0.660 0.679 0.679
0.000 0.269 0.731
0.000 0.731 0.269
0.500 0.000 0.000
```

Summary:
ΔE to the lowest computed polymorph ... 0 meV per atom
Energy of formation from the pure elements ... 2.51 eV/f.u.


No. 11
DFT (PBE-GGA) results for a relaxed structure of LiSm2UN4.

POSCAR file:
```
LiSm2UN4
1.0
-0.595 -2.969 1.897
4.326 -2.677 -2.833
2.400 2.569 4.773
Li Sm N U
1 2 4 1
direct
0.000 0.000 0.000
0.500 0.000 0.500
0.000 0.500 0.500
0.500 0.704 0.766
0.000 0.739 0.232
0.500 0.296 0.234
0.000 0.261 0.768
0.500 0.500 0.000
```

Summary:
Uncorrected formation energy ... -1206.9 meV per atom


No. 12
DFT (PBE-GGA) results for a relaxed structure of TmGa2Pd.

POSCAR file:
```
TmGa2Pd
1.0
4.384 0.008 0.000
-2.210 5.032 0.000
0.000 0.000 6.619
Ga Tm Pd
4 2 2
direct
0.372 0.745 0.448
0.628 0.255 0.948
0.372 0.745 0.052
0.628 0.255 0.552
0.914 0.826 0.750
0.086 0.174 0.250
0.202 0.403 0.750
0.798 0.597 0.250
```

Summary:
Energy of formation from the pure elements ... -3.17 eV/f.u.


No. 13
DFT (PBE-GGA) results for a relaxed structure of Tb2PmYTe6.

POSCAR file:
```
Tb2PmYTe6
1.0
7.766 0.000 0.000
3.883 6.725 0.000
3.882 2.242 7.075
Tb Te Y Pm
2 6 1 1
direct
0.008 0.008 0.975
0.510 0.510 0.471
0.730 0.111 0.752
0.603 0.233 0.249
0.916 0.603 0.249
0.233 0.916 0.249
0.111 0.407 0.752
0.408 0.730 0.752
0.323 0.323 0.032
0.821 0.821 0.537
```

Summary:
Uncorrected formation energy ... -1376.0 meV per atom


No. 14
DFT (PBE-GGA) results for a relaxed structure of VSnP2S.

POSCAR file:
```
VSnP2S
1.0
-3.978 -1.651 2.445
2.624 -0.104 4.199
-1.359 4.707 0.966
S Sn V P
1 1 1 2
direct
0.000 0.000 0.500
0.000 0.000 0.000
0.500 0.500 0.500
0.000 0.500 0.000
0.500 0.000 0.000
```

Summary:
ΔE to the lowest computed polymorph ... 1035 meV per atom
Uncorrected formation energy ... 1137.9 meV per atom


No. 15
DFT (PBE-GGA) results for a relaxed structure of ReBiP2O.

POSCAR file:
```
ReBiP2O
1.0
4.902 0.000 0.000
0.000 4.902 0.000
0.000 0.000 3.757
P Re O Bi
2 1 1 1
direct
0.000 0.500 0.000
0.500 0.000 0.000
0.000 0.000 0.000
0.000 0.000 0.500
0.500 0.500 0.500
```

Summary:
ΔE to the lowest computed polymorph ... 0 meV per atom
Uncorrected formation energy ... -132.9 meV per atom


No. 16
DFT (PBE-GGA) results for a relaxed structure of La6As3P2Cl.

POSCAR file:
```
La6As3P2Cl
1.0
-4.180 -0.999 -0.409
-0.390 -1.821 8.435
-0.065 9.633 -0.083
La As P Cl
6 3 2 1
direct
0.997 0.736 0.995
0.331 0.421 0.662
0.671 0.092 0.343
0.329 0.908 0.657
0.003 0.264 0.005
0.669 0.579 0.338
0.836 0.165 0.673
0.500 0.500 0.000
0.164 0.835 0.327
0.165 0.330 0.330
0.835 0.670 0.670
0.500 0.000 0.000
```

Summary:
Uncorrected formation energy ... -1647.7 meV per atom


No. 17
DFT (PBE-GGA) results for a relaxed structure of MgSeI.

POSCAR file:
```
MgSeI
1.0
4.302 -0.001 -0.002
0.003 6.803 0.005
0.249 2.319 7.265
Se Mg I
2 2 2
direct
0.873 0.480 0.230
0.887 0.803 0.963
0.885 0.165 0.077
0.376 0.711 0.174
0.363 0.980 0.377
0.398 0.318 0.823
```

Summary:
ΔE to the lowest computed polymorph ... 34 meV per atom
Uncorrected formation energy ... -823.0 meV per atom


No. 18
DFT (PBE-GGA) results for a relaxed structure of Rb2PmDyTe4.

POSCAR file:
```
Rb2PmDyTe4
1.0
4.575 0.000 0.000
0.000 7.923 0.138
0.000 -2.786 8.515
Te Rb Pm Dy
4 2 1 1
direct
0.500 0.772 0.800
0.500 0.228 0.200
0.000 0.261 0.797
0.000 0.739 0.203
0.500 0.000 0.500
0.000 0.500 0.500
0.500 0.500 0.000
0.000 0.000 0.000
```

Summary:
Uncorrected formation energy ... -1394.1 meV per atom


No. 19
DFT (PBE-GGA) results for a relaxed structure of Dy2Be2GeO7.

POSCAR file:
```
Dy2Be2GeO7
1.0
-0.753 -4.134 6.148
-1.568 -5.951 -4.194
4.689 -1.112 -0.174
O Dy Be Ge
14 4 4 2
direct
0.358 0.858 0.718
0.172 0.918 0.217
0.858 0.642 0.282
0.500 0.000 0.187
0.828 0.082 0.217
0.918 0.828 0.783
0.000 0.500 0.813
0.642 0.142 0.718
0.672 0.582 0.783
0.328 0.418 0.783
0.582 0.328 0.217
0.418 0.672 0.217
0.142 0.358 0.282
0.082 0.172 0.783
0.342 0.158 0.506
0.658 0.842 0.506
0.842 0.342 0.494
0.158 0.658 0.494
0.135 0.365 0.953
0.365 0.865 0.047
0.865 0.635 0.953
0.635 0.135 0.047
0.000 0.000 0.000
0.500 0.500 0.000
```

Summary:
Uncorrected formation energy ... -2884.1 meV per atom


No. 20
DFT (PBE-GGA) results for a relaxed structure of Ho2ZnCu.

POSCAR file:
```
Ho2ZnCu
1.0
-2.991 1.019 -1.496
1.085 -1.304 -3.058
-2.912 -6.189 1.605
Ho Zn Cu
2 1 1
direct
0.000 0.000 0.243
0.000 0.000 0.757
0.500 0.500 0.500
0.500 0.500 0.000
```

Summary:
Energy of formation from the pure elements ... -1.22 eV/f.u.


No. 21
DFT (PBE-GGA) results for a relaxed structure of MgBPd5.

POSCAR file:
```
MgBPd5
1.0
-5.209 2.388 1.888
-3.248 -1.511 -4.855
-5.853 -5.067 1.228
Mg Pd B
2 10 2
direct
0.685 0.315 0.250
0.315 0.685 0.750
0.288 0.508 0.474
0.508 0.288 0.974
0.712 0.492 0.526
0.652 0.890 0.222
0.903 0.097 0.750
0.097 0.903 0.250
0.890 0.652 0.722
0.348 0.110 0.778
0.492 0.712 0.026
0.110 0.348 0.278
0.000 0.000 0.000
0.000 0.000 0.500
```

Summary:
ΔE to the lowest computed polymorph ... 188 meV per atom
Energy of formation from the pure elements ... -0.76 eV/f.u.


No. 22
DFT (PBE-GGA) results for a relaxed structure of Ca2SiF8.

POSCAR file:
```
Ca2SiF8
1.0
4.346 0.043 1.153
1.146 5.560 1.478
0.037 0.041 5.866
F Si Ca
8 1 2
direct
0.241 0.713 0.054
0.803 0.407 0.407
0.759 0.287 0.946
0.197 0.593 0.593
0.221 0.113 0.113
0.779 0.887 0.887
0.241 0.054 0.713
0.759 0.946 0.287
0.000 0.000 0.000
0.349 0.338 0.338
0.651 0.662 0.662
```

Summary:
Uncorrected formation energy ... -3581.5 meV per atom